(1)
The following is a DFT calculation (PBE) of Cd3SbCl after structural relaxation.

formation energy without anion corrections: -154 meV/atom
polymorph energy (0 for the lowest one): 0.0000 eV/atom

Cell and atoms, written as POSCAR:
```
Cd3SbCl
1.0
3.853 2.225 6.477
-3.853 2.225 6.477
0.000 -4.449 6.477
Cd Sb Cl
6 2 2
direct
0.000 0.366 0.634
0.134 0.866 0.500
0.366 0.634 0.000
0.500 0.134 0.866
0.634 0.000 0.366
0.866 0.500 0.134
0.250 0.250 0.250
0.750 0.750 0.750
0.000 0.000 0.000
0.500 0.500 0.500
```

***

(2)
The following is a DFT calculation (PBE) of RbIn6Pb2 after structural relaxation.

uncorrected energy: -0.1021 hartree per atom

Cell and atoms, written as POSCAR:
```
RbIn6Pb2
1.0
5.464 0.000 0.000
0.000 5.464 0.000
0.000 0.000 9.946
Rb In Pb
1 6 2
direct
0.000 0.000 0.000
0.000 0.000 0.500
0.000 0.500 0.325
0.000 0.500 0.675
0.500 0.000 0.325
0.500 0.000 0.675
0.500 0.500 0.500
0.500 0.500 0.160
0.500 0.500 0.840
```